# ErPu2Zn

A geometry-optimized ErPu2Zn structure (PBE-GGA, Alexandria).

- symmetry = P4/mmm
- DFT formation energy (eV/atom) = 0.10
- crystal system = tetragonal

a b c (Å): 3.342 3.342 9.178
angles (deg): 90.00 90.00 90.00
Element x y z (fractional)
1 Er 0.000 0.000 0.000
2 Pu 0.500 0.500 0.282
3 Pu 0.500 0.500 0.718
4 Zn 0.000 0.000 0.500